# 1
{"formula": "TiH2I", "functional": "PBE-GGA", "state": "relaxed", "cell": [[-2.729, 2.729, 4.354], [2.729, -2.729, 4.354], [2.729, 2.729, -4.354]], "species": ["Ti", "Ti", "H", "H", "H", "H", "I", "I"], "fractional_positions": [[0.375, 0.625, 0.750], [0.625, 0.375, 0.250], [0.000, 0.500, 0.500], [0.500, 0.000, 0.000], [0.500, 0.500, 0.000], [0.500, 0.500, 0.500], [0.125, 0.875, 0.250], [0.875, 0.125, 0.750]], "dft_energy_ev_per_atom": -3.999, "m_tot_mub_per_fu": 1.00, "space_group": "I4_1/amd"}

# 2
{"formula": "Zr2NbSb", "functional": "PBE-GGA", "state": "relaxed", "cell": [[-3.948, 3.948, 2.930], [3.948, -3.948, 2.930], [3.948, 3.948, -2.930]], "species": ["Zr", "Zr", "Zr", "Zr", "Nb", "Nb", "Sb", "Sb"], "fractional_positions": [[0.116, 0.625, 0.991], [0.375, 0.366, 0.491], [0.634, 0.125, 0.009], [0.875, 0.884, 0.509], [0.000, 0.000, 0.000], [0.750, 0.250, 0.500], [0.250, 0.750, 0.500], [0.500, 0.500, 0.000]], "dft_energy_ev_per_atom": -7.568, "formation_energy_uncorrected_ev_per_atom": 0.2545, "m_tot_mub_per_fu": 0.00, "space_group": "I-42d"}

# 3
{"formula": "Hf2PbCI", "functional": "PBE-GGA", "state": "relaxed", "cell": [[4.543, 0.000, 0.000], [0.000, 4.543, 0.000], [0.000, 0.000, 5.744]], "species": ["Hf", "Hf", "Pb", "C", "I"], "fractional_positions": [[0.000, 0.500, 0.000], [0.500, 0.000, 0.000], [0.000, 0.000, 0.500], [0.000, 0.000, 0.000], [0.500, 0.500, 0.500]], "dft_energy_ev_per_atom": -6.352, "formation_energy_uncorrected_ev_per_atom": 0.5258, "m_tot_mub_per_fu": 0.00, "space_group": "P4/mmm"}

# 4
{"formula": "KNa2HgSb", "functional": "PBE-GGA", "state": "relaxed", "cell": [[5.927, 0.000, 0.000], [0.000, 5.927, 0.000], [0.000, 0.000, 5.948]], "species": ["K", "Na", "Na", "Hg", "Sb"], "fractional_positions": [[0.000, 0.000, 0.000], [0.000, 0.500, 0.500], [0.500, 0.000, 0.500], [0.500, 0.500, 0.000], [0.500, 0.500, 0.500]], "dft_energy_ev_per_atom": -1.787, "formation_energy_uncorrected_ev_per_atom": -0.1551, "m_tot_mub_per_fu": 0.00, "space_group": "P4/mmm"}